# CoRuPb2, PBEsol geometry, DFT meta-GGA SCAN
data_CoRuPb2
_chemical_formula_sum 'Co1 Ru1 Pb2'
_space_group_name_H-M_alt 'P 4/m m m'
_space_group_IT_number 123
_space_group_name_Hall '-P 4 2'
_cell_length_a 3.260
_cell_length_b 3.260
_cell_length_c 6.503
_cell_angle_alpha 90.00
_cell_angle_beta 90.00
_cell_angle_gamma 90.00
loop_
_atom_site_label
_atom_site_fract_x
_atom_site_fract_y
_atom_site_fract_z
_atom_site_occupancy
Co1 0.000 0.000 0.000 1
Ru1 0.000 0.000 0.500 1
Pb1 0.500 0.500 0.244 1
# N(E_F): 1.79 states/eV/f.u.
# V: 17.28 A^3/atom
# ΔH_f (0 K): 0.650 eV per atom
# total magnetic moment: 1.193 μB per formula unit

***

# NiMoIr2, PBEsol geometry, DFT meta-GGA SCAN
data_NiMoIr2
_chemical_formula_sum 'Ni2 Mo2 Ir4'
_space_group_name_H-M_alt 'I 4/m m m'
_space_group_IT_number 139
_space_group_name_Hall '-I 4 2'
_cell_length_a 3.814
_cell_length_b 3.814
_cell_length_c 7.409
_cell_angle_alpha 90.00
_cell_angle_beta 90.00
_cell_angle_gamma 90.00
loop_
_atom_site_label
_atom_site_fract_x
_atom_site_fract_y
_atom_site_fract_z
_atom_site_occupancy
Ni1 0.000 0.000 0.000 1
Mo1 0.000 0.000 0.500 1
Ir1 0.000 0.500 0.250 1
# N(E_F): 3.54 states/eV/f.u.
# V: 13.47 A^3/atom
# ΔH_f (0 K): -0.269 eV per atom
# total magnetic moment: 0.422 μB per formula unit

***

# Ti6Al16Fe7, PBEsol geometry, DFT meta-GGA SCAN
data_Ti6Al16Fe7
_chemical_formula_sum 'Ti24 Al64 Fe28'
_space_group_name_H-M_alt 'F m -3 m'
_space_group_IT_number 225
_space_group_name_Hall '-F 4 2 3'
_cell_length_a 11.706
_cell_length_b 11.706
_cell_length_c 11.706
_cell_angle_alpha 90.00
_cell_angle_beta 90.00
_cell_angle_gamma 90.00
loop_
_atom_site_label
_atom_site_fract_x
_atom_site_fract_y
_atom_site_fract_z
_atom_site_occupancy
Ti1 0.000 0.000 0.211 1
Al1 0.119 0.119 0.381 1
Al2 0.159 0.159 0.159 1
Fe1 0.000 0.000 0.500 1
Fe2 0.000 0.250 0.250 1
# N(E_F): 18.73 states/eV/f.u.
# V: 13.83 A^3/atom
# ΔH_f (0 K): -0.381 eV per atom
# total magnetic moment: 10.232 μB per formula unit

***

# CoAg2Br, PBEsol geometry, DFT meta-GGA SCAN
data_CoAg2Br
_chemical_formula_sum 'Co4 Ag8 Br4'
_space_group_name_H-M_alt 'F -4 3 m'
_space_group_IT_number 216
_space_group_name_Hall 'F -4 2 3'
_cell_length_a 6.458
_cell_length_b 6.458
_cell_length_c 6.458
_cell_angle_alpha 90.00
_cell_angle_beta 90.00
_cell_angle_gamma 90.00
loop_
_atom_site_label
_atom_site_fract_x
_atom_site_fract_y
_atom_site_fract_z
_atom_site_occupancy
Co1 0.000 0.000 0.000 1
Ag1 0.000 0.000 0.500 1
Ag2 0.250 0.250 0.750 1
Br1 0.250 0.250 0.250 1
# N(E_F): 2.98 states/eV/f.u.
# V: 16.84 A^3/atom
# formation energy without anion corrections: 0.672 eV per atom
# total magnetic moment: 1.875 μB per formula unit

***

# Zr2InRu, PBEsol geometry, DFT meta-GGA SCAN
data_Zr2InRu
_chemical_formula_sum 'Zr2 In1 Ru1'
_space_group_name_H-M_alt 'P 4/m m m'
_space_group_IT_number 123
_space_group_name_Hall '-P 4 2'
_cell_length_a 3.143
_cell_length_b 3.143
_cell_length_c 7.811
_cell_angle_alpha 90.00
_cell_angle_beta 90.00
_cell_angle_gamma 90.00
loop_
_atom_site_label
_atom_site_fract_x
_atom_site_fract_y
_atom_site_fract_z
_atom_site_occupancy
Zr1 0.000 0.000 0.212 1
In1 0.500 0.500 0.500 1
Ru1 0.500 0.500 0.000 1
# N(E_F): 2.63 states/eV/f.u.
# V: 19.28 A^3/atom
# ΔH_f (0 K): -0.552 eV per atom
# total magnetic moment: 0.000 μB per formula unit

***

# KScTe2, PBEsol geometry, DFT meta-GGA SCAN
data_KScTe2
_chemical_formula_sum 'K1 Sc1 Te2'
_space_group_name_H-M_alt 'P 1 m 1'
_space_group_IT_number 6
_cell_length_a 4.339
_cell_length_b 4.555
_cell_length_c 8.008
_cell_angle_alpha 90.00
_cell_angle_beta 105.61
_cell_angle_gamma 90.00
loop_
_space_group_symop_operation_xyz
'x,y,z'
'x,-y,z'
loop_
_atom_site_label
_atom_site_fract_x
_atom_site_fract_y
_atom_site_fract_z
_atom_site_occupancy
K1 0.000 0.000 0.000 1
Sc1 0.776 0.500 0.548 1
Te1 0.390 0.500 0.776 1
Te2 0.673 0.000 0.349 1
# N(E_F): 0.00 states/eV/f.u.
# V: 38.11 A^3/atom
# formation energy without anion corrections: -1.221 eV per atom
# total magnetic moment: 0.000 μB per formula unit

***

# MgAlCd2, PBEsol geometry, DFT meta-GGA SCAN
data_MgAlCd2
_chemical_formula_sum 'Mg1 Al1 Cd2'
_space_group_name_H-M_alt 'P -1'
_space_group_IT_number 2
_cell_length_a 3.089
_cell_length_b 5.097
_cell_length_c 5.396
_cell_angle_alpha 79.58
_cell_angle_beta 89.94
_cell_angle_gamma 72.92
loop_
_space_group_symop_operation_xyz
'x,y,z'
'-x,-y,-z'
loop_
_atom_site_label
_atom_site_fract_x
_atom_site_fract_y
_atom_site_fract_z
_atom_site_occupancy
Mg1 0.000 0.000 0.000 1
Al1 0.500 0.000 0.500 1
Cd1 0.251 0.503 0.748 1
# N(E_F): 1.32 states/eV/f.u.
# V: 19.94 A^3/atom
# ΔH_f (0 K): -0.006 eV per atom
# total magnetic moment: 0.000 μB per formula unit

***

# CrCo2Pb, PBEsol geometry, DFT meta-GGA SCAN
data_CrCo2Pb
_chemical_formula_sum 'Cr3 Co6 Pb3'
_space_group_name_H-M_alt 'R 3 m'
_space_group_IT_number 160
_space_group_name_Hall 'R 3 -2"'
_cell_length_a 4.0253
_cell_length_b 4.0253
_cell_length_c 12.7582
_cell_angle_alpha 90.00
_cell_angle_beta 90.00
_cell_angle_gamma 120.00
loop_
_atom_site_label
_atom_site_fract_x
_atom_site_fract_y
_atom_site_fract_z
_atom_site_occupancy
Cr1 0.0000 0.0000 0.0000 1
Co1 0.0000 0.0000 0.2333 1
Co2 0.0000 0.0000 0.5818 1
Pb1 0.0000 0.0000 0.7875 1
# N(E_F): 3.50 states/eV/f.u.
# V: 14.92 A^3/atom
# ΔH_f (0 K): 0.436 eV per atom
# total magnetic moment: 6.560 μB per formula unit

***

# MgRhAu2, PBEsol geometry, DFT meta-GGA SCAN
data_MgRhAu2
_chemical_formula_sum 'Mg2 Rh2 Au4'
_space_group_name_H-M_alt 'I -4 m 2'
_space_group_IT_number 119
_space_group_name_Hall 'I -4 -2'
_cell_length_a 4.011
_cell_length_b 4.011
_cell_length_c 7.902
_cell_angle_alpha 90.00
_cell_angle_beta 90.00
_cell_angle_gamma 90.00
loop_
_atom_site_label
_atom_site_fract_x
_atom_site_fract_y
_atom_site_fract_z
_atom_site_occupancy
Mg1 0.000 0.000 0.000 1
Rh1 0.000 0.500 0.750 1
Au1 0.000 0.000 0.500 1
Au2 0.000 0.500 0.250 1
# N(E_F): 2.37 states/eV/f.u.
# V: 15.89 A^3/atom
# ΔH_f (0 K): -0.366 eV per atom
# total magnetic moment: 0.000 μB per formula unit

***

# LaRuPb, PBEsol geometry, DFT meta-GGA SCAN
data_LaRuPb
_chemical_formula_sum 'La1 Ru1 Pb1'
_space_group_name_H-M_alt 'P 3 m 1'
_space_group_IT_number 156
_cell_length_a 4.2080
_cell_length_b 4.2080
_cell_length_c 5.0037
_cell_angle_alpha 90.00
_cell_angle_beta 90.00
_cell_angle_gamma 120.00
loop_
_space_group_symop_operation_xyz
'x,y,z'
'-y,x-y,z'
'-x+y,-x,z'
'-y,-x,z'
'-x+y,y,z'
'x,x-y,z'
loop_
_atom_site_label
_atom_site_fract_x
_atom_site_fract_y
_atom_site_fract_z
_atom_site_occupancy
La1 0.0000 0.0000 0.0000 1
Ru1 0.6667 0.3333 0.3023 1
Pb1 0.3333 0.6667 0.5274 1
# N(E_F): 1.90 states/eV/f.u.
# V: 25.58 A^3/atom
# ΔH_f (0 K): -0.144 eV per atom
# total magnetic moment: 0.000 μB per formula unit

***

# TaNb3Rh, PBEsol geometry, DFT meta-GGA SCAN
data_TaNb3Rh
_chemical_formula_sum 'Ta1 Nb3 Rh1'
_space_group_name_H-M_alt 'P m -3 m'
_space_group_IT_number 221
_space_group_name_Hall '-P 4 2 3'
_cell_length_a 4.752
_cell_length_b 4.752
_cell_length_c 4.752
_cell_angle_alpha 90.00
_cell_angle_beta 90.00
_cell_angle_gamma 90.00
loop_
_atom_site_label
_atom_site_fract_x
_atom_site_fract_y
_atom_site_fract_z
_atom_site_occupancy
Ta1 0.000 0.000 0.000 1
Nb1 0.000 0.000 0.500 1
Rh1 0.500 0.500 0.500 1
# N(E_F): 9.19 states/eV/f.u.
# V: 21.47 A^3/atom
# ΔH_f (0 K): 1.629 eV per atom
# total magnetic moment: 0.001 μB per formula unit

***

# SrVN2, PBEsol geometry, DFT meta-GGA SCAN
data_SrVN2
_chemical_formula_sum 'Sr4 V4 N8'
_space_group_name_H-M_alt 'P 1 21/c 1'
_space_group_IT_number 14
_cell_length_a 6.281
_cell_length_b 7.304
_cell_length_c 5.577
_cell_angle_alpha 90.00
_cell_angle_beta 114.33
_cell_angle_gamma 90.00
loop_
_space_group_symop_operation_xyz
'x,y,z'
'-x,-y,-z'
'-x,y+1/2,-z+1/2'
'x,-y+1/2,z+1/2'
loop_
_atom_site_label
_atom_site_fract_x
_atom_site_fract_y
_atom_site_fract_z
_atom_site_occupancy
Sr1 0.157 0.073 0.321 1
V1 0.377 0.644 0.432 1
N1 0.228 0.739 0.105 1
N2 0.291 0.098 0.913 1
# N(E_F): 0.27 states/eV/f.u.
# V: 14.57 A^3/atom
# formation energy without anion corrections: -1.302 eV per atom
# total magnetic moment: 0.000 μB per formula unit

***

Question: Look up the V of the sixth one.
Answer: 38.11 A^3/atom

***

Question: What is the formula in the third record?
Answer: Ti6Al16Fe7

***

Question: Which value of total magnetic moment does entry 2 give?
Answer: 0.422 μB per formula unit